Record 1
Computed, not measured: DyTm3Rh2 after structural relaxation at the PBE level of DFT.

Lattice parameters (Å, degrees): 4.5673 8.6756 7.1527 90.00 90.00 90.00
With the nearest neighbours (Å) after each atom.
Fractional coordinates of all 12 atoms:
Dy1 0.0000 0.0850 0.0000  3 Rh 2.79-3.00
Dy2 0.0000 0.9150 0.5000  3 Rh 2.79-3.00
Tm1 0.0000 0.3307 0.6295  4 Rh 2.84-2.92
Tm2 0.0000 0.6693 0.1295  4 Rh 2.84-2.92
Tm3 0.5000 0.1721 0.3468  4 Rh 2.84-2.97
Tm4 0.5000 0.4152 0.9756  3 Rh 2.77-2.99
Tm5 0.5000 0.5848 0.4756  3 Rh 2.77-2.99
Tm6 0.5000 0.8279 0.8468  4 Rh 2.84-2.97
Rh1 0.0000 0.3437 0.2319  1 Dy 2.79, 6 Tm 2.85-2.99
Rh2 0.0000 0.6563 0.7319  1 Dy 2.79, 6 Tm 2.85-2.99
Rh3 0.5000 0.1593 0.7435  5 Tm 2.77-2.97, 2 Dy 3.00
Rh4 0.5000 0.8407 0.2435  5 Tm 2.77-2.97, 2 Dy 3.00

E above lowest polymorph = 0 meV per atom
calculated volume = 141.7 Å³/f.u.
space group = Pmc2_1
energy of formation from the pure elements = -701 meV/atom

Record 2
Computed, not measured: Dy2TmRh after structural relaxation at the PBE level of DFT.

Lattice parameters (Å, degrees): 7.1325 9.4598 6.2457 90.00 90.00 90.00
With the nearest neighbours (Å) after each atom.
Fractional coordinates of all 16 atoms:
Dy1 0.1790 0.0632 0.1724  2 Rh 2.85-2.87
Dy2 0.1790 0.4368 0.1724  2 Rh 2.85-2.87
Dy3 0.3210 0.5632 0.6724  2 Rh 2.85-2.87
Dy4 0.3210 0.9368 0.6724  2 Rh 2.85-2.87
Dy5 0.6790 0.0632 0.3276  2 Rh 2.85-2.87
Dy6 0.6790 0.4368 0.3276  2 Rh 2.85-2.87
Dy7 0.8210 0.5632 0.8276  2 Rh 2.85-2.87
Dy8 0.8210 0.9368 0.8276  2 Rh 2.85-2.87
Tm1 0.0359 0.2500 0.6381  2 Rh 2.74-2.80
Tm2 0.4641 0.7500 0.1381  2 Rh 2.74-2.80
Tm3 0.5359 0.2500 0.8619  2 Rh 2.74-2.80
Tm4 0.9641 0.7500 0.3619  2 Rh 2.74-2.80
Rh1 0.1169 0.7500 0.9489  2 Tm 2.74-2.80, 4 Dy 2.85-2.87
Rh2 0.3831 0.2500 0.4489  2 Tm 2.74-2.80, 4 Dy 2.85-2.87
Rh3 0.6169 0.7500 0.5511  2 Tm 2.74-2.80, 4 Dy 2.85-2.87
Rh4 0.8831 0.2500 0.0511  2 Tm 2.74-2.80, 4 Dy 2.85-2.87

E above lowest polymorph = 0 meV per atom
calculated volume = 105.4 Å³/f.u.
space group = Pnma
energy of formation from the pure elements = -539 meV/atom

Record 3
Computed, not measured: Dy2Tm5Rh4 after structural relaxation at the PBE level of DFT.

Lattice parameters (Å, degrees): 11.5576 11.5576 6.8898 96.87 96.87 17.39
With the nearest neighbours (Å) after each atom.
Fractional coordinates of all 11 atoms:
Dy1 0.2287 0.2287 0.2699  3 Rh 2.81-2.88
Dy2 0.7713 0.7713 0.7301  3 Rh 2.81-2.88
Tm1 0.0000 0.0000 0.0000  4 Rh 2.78
Tm2 0.3704 0.3704 0.1070  3 Rh 2.64-2.82
Tm3 0.4025 0.4025 0.6001  4 Rh 2.74-2.87
Tm4 0.5975 0.5975 0.3999  4 Rh 2.74-2.87
Tm5 0.6296 0.6296 0.8930  3 Rh 2.64-2.82
Rh1 0.1763 0.1763 0.6295  3 Dy 2.81-2.88, 4 Tm 2.82-2.85
Rh2 0.4780 0.4780 0.2958  5 Tm 2.64-2.87, 1 Rh 2.87
Rh3 0.5220 0.5220 0.7042  5 Tm 2.64-2.87, 1 Rh 2.87
Rh4 0.8237 0.8237 0.3705  3 Dy 2.81-2.88, 4 Tm 2.82-2.85

calculated volume = 273.1 Å³/f.u.
space group = C2/m
energy of formation from the pure elements = -523 meV/atom